Li2CaRe | PBE-GGA | relaxed

Cell: 5.356 5.356 2.681 Å, 90.00 90.00 113.83°
Fractional positions:
Li 0.000 0.500 0.000
Li 0.500 0.000 0.000
Ca 0.000 0.000 0.500
Re 0.500 0.500 0.500

Summary:
Electronic total energy: -15.67 eV for the cell shown
Formation enthalpy at 0 K: 2.6 eV/f.u.
Excess energy over the best structure of this formula in the dataset: 178 meV/atom
Fermi-level density of states: 2.490 states/eV/f.u.


Tb5PrY12 | PBE-GGA | relaxed

Cell: 10.729 10.729 5.056 Å, 90.00 90.00 90.08°
Fractional positions:
Tb 0.000 0.000 0.000
Tb 0.166 0.834 0.500
Tb 0.332 0.668 0.000
Tb 0.668 0.332 0.000
Tb 0.834 0.166 0.500
Pr 0.500 0.500 0.500
Y 0.001 0.668 0.000
Y 0.166 0.166 0.500
Y 0.166 0.501 0.500
Y 0.332 0.999 0.000
Y 0.333 0.333 0.000
Y 0.499 0.834 0.500
Y 0.501 0.166 0.500
Y 0.667 0.667 0.000
Y 0.668 0.001 0.000
Y 0.834 0.499 0.500
Y 0.834 0.834 0.500
Y 0.999 0.332 0.000

Summary:
Electronic total energy: -105.10 eV for the cell shown
Formation enthalpy at 0 K: 0.4 eV/f.u.
Fermi-level density of states: 26.617 states/eV/f.u.


PaCdSnGe | PBE-GGA | relaxed

Cell: 4.374 4.374 9.784 Å, 90.00 90.00 90.00°
Fractional positions:
Pa 0.250 0.250 0.208
Pa 0.750 0.750 0.792
Cd 0.250 0.750 0.500
Cd 0.750 0.250 0.500
Sn 0.250 0.250 0.721
Sn 0.750 0.750 0.279
Ge 0.250 0.750 0.000
Ge 0.750 0.250 0.000

Summary:
Electronic total energy: -39.62 eV for the cell shown
Formation enthalpy at 0 K: -0.8 eV/f.u.
Fermi-level density of states: 3.038 states/eV/f.u.


Pr5Nd8Th | PBE-GGA | relaxed

Cell: 7.368 8.261 9.756 Å, 104.72 112.08 102.99°
Fractional positions:
Pr 0.000 0.000 0.000
Pr 0.072 0.570 0.851
Pr 0.428 0.428 0.142
Pr 0.564 0.572 0.851
Pr 0.863 0.856 0.290
Nd 0.144 0.135 0.712
Nd 0.284 0.292 0.430
Nd 0.356 0.858 0.291
Nd 0.496 0.995 0.995
Nd 0.636 0.137 0.712
Nd 0.714 0.714 0.570
Nd 0.791 0.291 0.429
Nd 0.932 0.433 0.147
Th 0.214 0.714 0.570

Summary:
Electronic total energy: -69.12 eV for the cell shown
Formation enthalpy at 0 K: 0.3 eV/f.u.
Fermi-level density of states: 21.714 states/eV/f.u.


Th2AlCo | PBE-GGA | relaxed

Cell: 5.919 5.919 4.176 Å, 110.57 110.57 45.91°
Fractional positions:
Th 0.170 0.170 0.170
Th 0.830 0.830 0.830
Al 0.500 0.500 0.500
Co 0.000 0.000 0.500

Summary:
Electronic total energy: -26.54 eV for the cell shown
Formation enthalpy at 0 K: -0.9 eV/f.u.
Excess energy over the best structure of this formula in the dataset: 0 meV/atom
Fermi-level density of states: 2.775 states/eV/f.u.


PrSi4Pt4 | PBE-GGA | relaxed

Cell: 6.186 6.186 8.075 Å, 90.00 90.00 90.00°
Fractional positions:
Pr 0.250 0.750 0.250
Pr 0.750 0.250 0.750
Si 0.037 0.250 0.078
Si 0.250 0.037 0.578
Si 0.250 0.463 0.578
Si 0.463 0.250 0.078
Si 0.537 0.750 0.922
Si 0.750 0.537 0.422
Si 0.750 0.963 0.422
Si 0.963 0.750 0.922
Pt 0.026 0.250 0.380
Pt 0.250 0.026 0.880
Pt 0.250 0.474 0.880
Pt 0.474 0.250 0.380
Pt 0.526 0.750 0.620
Pt 0.750 0.526 0.120
Pt 0.750 0.974 0.120
Pt 0.974 0.750 0.620

Summary:
Electronic total energy: -115.06 eV for the cell shown
Formation energy from raw total energies: -0.766 eV per atom
Fermi-level density of states: 3.417 states/eV/f.u.


HoEr2 | PBE-GGA | relaxed

Cell: 6.483 6.483 6.483 Å, 60.00 60.00 60.00°
Fractional positions:
Ho 0.125 0.125 0.125
Ho 0.875 0.875 0.875
Er 0.000 0.500 0.500
Er 0.500 0.000 0.500
Er 0.500 0.500 0.000
Er 0.500 0.500 0.500

Summary:
Electronic total energy: -25.79 eV for the cell shown
Formation enthalpy at 0 K: 0.8 eV/f.u.
Excess energy over the best structure of this formula in the dataset: 273 meV/atom
Fermi-level density of states: 5.247 states/eV/f.u.


ZrMn2HRu | PBE-GGA | relaxed

Cell: 3.778 3.778 4.386 Å, 90.00 90.00 90.00°
Fractional positions:
Zr 0.000 0.000 0.000
Mn 0.000 0.500 0.500
Mn 0.500 0.000 0.500
H 0.000 0.000 0.500
Ru 0.500 0.500 0.000

Summary:
Electronic total energy: -39.90 eV for the cell shown
Excess energy over the best structure of this formula in the dataset: 0 meV/atom
Fermi-level density of states: 4.858 states/eV/f.u.


Cs4Pr3AlS8 | PBE-GGA | relaxed

Cell: 9.403 9.403 9.403 Å, 52.52 52.52 52.52°
Fractional positions:
Cs 0.000 0.000 0.000
Cs 0.000 0.500 0.500
Cs 0.500 0.000 0.500
Cs 0.500 0.500 0.000
Pr 0.000 0.000 0.500
Pr 0.000 0.500 0.000
Pr 0.500 0.000 0.000
Al 0.500 0.500 0.500
S 0.230 0.230 0.230
S 0.257 0.710 0.710
S 0.290 0.290 0.743
S 0.290 0.743 0.290
S 0.710 0.257 0.710
S 0.710 0.710 0.257
S 0.743 0.290 0.290
S 0.770 0.770 0.770

Summary:
Electronic total energy: -79.28 eV for the cell shown
Formation energy from raw total energies: -1.548 eV per atom


Nd5SmZn6 | PBE-GGA | relaxed

Cell: 8.224 8.224 7.368 Å, 90.00 90.00 143.20°
Fractional positions:
Nd 0.000 0.000 0.000
Nd 0.333 0.667 0.000
Nd 0.334 0.666 0.500
Nd 0.666 0.334 0.500
Nd 0.667 0.333 0.000
Sm 0.000 0.000 0.500
Zn 0.165 0.835 0.252
Zn 0.165 0.835 0.748
Zn 0.500 0.500 0.252
Zn 0.500 0.500 0.748
Zn 0.835 0.165 0.252
Zn 0.835 0.165 0.748

Summary:
Electronic total energy: -39.91 eV for the cell shown
Formation enthalpy at 0 K: -3.7 eV/f.u.
Fermi-level density of states: 13.695 states/eV/f.u.


Y2HNF | PBE-GGA | relaxed

Cell: 4.331 4.331 3.388 Å, 90.00 90.00 90.00°
Fractional positions:
Y 0.000 0.500 0.000
Y 0.500 0.000 0.000
H 0.000 0.000 0.000
N 0.000 0.000 0.500
F 0.500 0.500 0.500

Summary:
Electronic total energy: -29.98 eV for the cell shown
Fermi-level density of states: 2.190 states/eV/f.u.


InCu2Sb | PBE-GGA | relaxed

Cell: 8.989 8.989 8.989 Å, 151.09 151.09 41.34°
Fractional positions:
In 0.000 0.000 0.000
In 0.750 0.250 0.500
Cu 0.154 0.625 0.029
Cu 0.375 0.404 0.529
Cu 0.596 0.125 0.971
Cu 0.875 0.846 0.471
Sb 0.250 0.750 0.500
Sb 0.500 0.500 0.000

Summary:
Electronic total energy: -28.46 eV for the cell shown
Formation energy from raw total energies: 0.206 eV per atom
Fermi-level density of states: 1.444 states/eV/f.u.


CaPmP2 | PBE-GGA | relaxed

Cell: 7.213 7.213 7.213 Å, 33.24 33.24 33.24°
Fractional positions:
Ca 0.000 0.000 0.000
Pm 0.500 0.500 0.500
P 0.248 0.248 0.248
P 0.752 0.752 0.752

Summary:
Electronic total energy: -22.17 eV for the cell shown
Formation enthalpy at 0 K: -4.6 eV/f.u.
Excess energy over the best structure of this formula in the dataset: 0 meV/atom
Fermi-level density of states: 4.147 states/eV/f.u.


CrCo2B2 | PBE-GGA | relaxed

Cell: 5.897 5.897 2.448 Å, 90.00 90.00 90.00°
Fractional positions:
Cr 0.000 0.000 0.000
Cr 0.500 0.500 0.000
Co 0.157 0.343 0.500
Co 0.343 0.843 0.500
Co 0.657 0.157 0.500
Co 0.843 0.657 0.500
B 0.139 0.639 0.000
B 0.361 0.139 0.000
B 0.639 0.861 0.000
B 0.861 0.361 0.000

Summary:
Electronic total energy: -76.05 eV for the cell shown
Formation enthalpy at 0 K: -0.8 eV/f.u.
Fermi-level density of states: 3.300 states/eV/f.u.


SrZn2PN4 | PBE-GGA | relaxed

Cell: 5.168 5.168 5.168 Å, 119.16 119.16 91.46°
Fractional positions:
Sr 0.000 0.000 0.000
Zn 0.250 0.750 0.500
Zn 0.750 0.250 0.500
P 0.500 0.500 0.000
N 0.184 0.184 0.635
N 0.450 0.816 0.000
N 0.550 0.550 0.365
N 0.816 0.450 0.000

Summary:
Electronic total energy: -46.25 eV for the cell shown
Formation energy from raw total energies: -0.413 eV per atom
Fermi-level density of states: 4.123 states/eV/f.u.


SrCo2ReHg | PBE-GGA | relaxed

Cell: 4.527 4.527 5.870 Å, 90.00 90.00 90.00°
Fractional positions:
Sr 0.000 0.000 0.000
Co 0.000 0.500 0.500
Co 0.500 0.000 0.500
Re 0.000 0.000 0.500
Hg 0.500 0.500 0.000

Summary:
Electronic total energy: -23.12 eV for the cell shown
Formation enthalpy at 0 K: 5.5 eV/f.u.
Fermi-level density of states: 6.214 states/eV/f.u.


Sm12Dy3Mg | PBE-GGA | relaxed

Cell: 5.070 5.070 20.364 Å, 90.00 90.00 90.00°
Fractional positions:
Sm 0.000 0.000 0.000
Sm 0.000 0.000 0.246
Sm 0.000 0.000 0.500
Sm 0.000 0.000 0.754
Sm 0.000 0.500 0.123
Sm 0.000 0.500 0.374
Sm 0.000 0.500 0.626
Sm 0.000 0.500 0.877
Sm 0.500 0.000 0.123
Sm 0.500 0.000 0.374
Sm 0.500 0.000 0.626
Sm 0.500 0.000 0.877
Dy 0.500 0.500 0.248
Dy 0.500 0.500 0.500
Dy 0.500 0.500 0.752
Mg 0.500 0.500 0.000

Summary:
Electronic total energy: -71.79 eV for the cell shown
Formation enthalpy at 0 K: 0.2 eV/f.u.
Fermi-level density of states: 23.370 states/eV/f.u.


KZnPb | PBE-GGA | relaxed

Cell: 6.973 6.888 3.909 Å, 74.82 72.43 32.75°
Fractional positions:
K 0.000 0.000 0.000
Zn 0.693 0.693 0.307
Pb 0.288 0.288 0.712

Summary:
Electronic total energy: -5.92 eV for the cell shown
Formation enthalpy at 0 K: 0.2 eV/f.u.
Excess energy over the best structure of this formula in the dataset: 89 meV/atom
Fermi-level density of states: 1.725 states/eV/f.u.


TmGa2Rh4 | PBE-GGA | relaxed

Cell: 5.317 5.317 5.317 Å, 108.81 108.81 110.80°
Fractional positions:
Tm 0.000 0.000 0.000
Ga 0.000 0.500 0.500
Ga 0.500 0.000 0.500
Rh 0.000 0.000 0.500
Rh 0.000 0.500 0.000
Rh 0.500 0.000 0.000
Rh 0.500 0.500 0.500

Summary:
Electronic total energy: -43.30 eV for the cell shown
Formation enthalpy at 0 K: -3.4 eV/f.u.
Fermi-level density of states: 2.522 states/eV/f.u.


MoC2 | PBE-GGA | relaxed

Cell: 4.749 4.749 5.145 Å, 96.52 96.52 109.87°
Fractional positions:
Mo 0.000 0.000 0.000
Mo 0.311 0.689 0.500
Mo 0.689 0.311 0.500
C 0.109 0.286 0.678
C 0.286 0.109 0.678
C 0.349 0.349 0.224
C 0.651 0.651 0.776
C 0.714 0.891 0.322
C 0.891 0.714 0.322

Summary:
Electronic total energy: -76.21 eV for the cell shown
Formation enthalpy at 0 K: 3.9 eV/f.u.
Excess energy over the best structure of this formula in the dataset: 773 meV/atom
Fermi-level density of states: 1.657 states/eV/f.u.